(1)
Material: VFeCo2Si
Method: DFT, PBE
State: relaxed

Properties
Its magnetization is 3.58 μB per formula unit. Its raw formation energy is 0.7027 eV per atom.

```
VFeCo2Si
1.0
4.053 0.000 0.000
0.000 4.096 0.000
0.000 0.000 4.053
Co Si V Fe
2 1 1 1
direct
0.000 0.000 0.500
0.500 0.000 0.000
0.000 0.000 0.000
0.500 0.500 0.500
0.000 0.500 0.000
```

(2)
Material: FeCoSiW
Method: DFT, PBE
State: relaxed

Properties
Its magnetization is 2.46 μB per formula unit. Its raw formation energy is -0.0956 eV per atom.

```
FeCoSiW
1.0
-0.727 -1.859 -3.595
2.761 -2.619 -1.555
-0.818 -4.028 -0.103
Si W Fe Co
1 1 1 1
direct
0.250 0.250 0.250
0.750 0.750 0.750
0.000 0.000 0.000
0.500 0.500 0.500
```

(3)
Material: Sm3FeCo3
Method: DFT, PBE
State: relaxed

Properties
Its magnetization is 4.18 μB per formula unit. The value obtained for the calculated total energy is -44.44 eV/f.u.

```
Sm3FeCo3
1.0
4.008 0.000 0.604
1.978 5.359 0.478
0.113 0.039 12.857
Fe Co Sm
2 6 6
direct
0.244 0.933 0.579
0.756 0.067 0.421
0.875 0.710 0.539
0.064 0.109 0.764
0.096 0.885 0.924
0.904 0.115 0.076
0.936 0.891 0.236
0.125 0.290 0.461
0.606 0.712 0.076
0.745 0.742 0.769
0.523 0.329 0.625
0.394 0.288 0.924
0.255 0.258 0.231
0.477 0.671 0.375
```

no.,V (A^3/atom),calculated density (Mg/m³)
1,13.5,6.236
2,12.3,11.039
3,19.7,8.234